Entry 1:
Computed, not measured: an optimized crystal structure of Y2MgGe2 at the PBE level of DFT.

Cell: 7.2836 7.2836 4.2539 Å, 90.00 90.00 90.00°
Fractional coordinates of all 10 atoms:
Y (0.1775, 0.3225, 0.0000)
Y (0.3225, 0.8225, 0.0000)
Y (0.6775, 0.1775, 0.0000)
Y (0.8225, 0.6775, 0.0000)
Mg (0.0000, 0.0000, 0.5000)
Mg (0.5000, 0.5000, 0.5000)
Ge (0.1235, 0.6235, 0.5000)
Ge (0.3765, 0.1235, 0.5000)
Ge (0.6235, 0.8765, 0.5000)
Ge (0.8765, 0.3765, 0.5000)

## Properties
ΔE_f: -77.00 kJ per mole of atoms
calculated density: 5.11 g/cm³
relative energy among the computed polymorphs: 0 meV/atom

Entry 2:
Computed, not measured: an optimized crystal structure of YMgGe2 at the PBE level of DFT.

Cell: 4.7576 4.7576 17.6315 Å, 90.00 90.00 90.00°
Fractional coordinates of all 16 atoms:
Y (0.0000, 0.0000, 0.0000)
Y (0.0000, 0.5000, 0.2500)
Y (0.5000, 0.0000, 0.7500)
Y (0.5000, 0.5000, 0.5000)
Mg (0.0000, 0.0000, 0.5000)
Mg (0.0000, 0.5000, 0.7500)
Mg (0.5000, 0.0000, 0.2500)
Mg (0.5000, 0.5000, 0.0000)
Ge (0.1561, 0.2500, 0.6250)
Ge (0.2500, 0.6561, 0.8750)
Ge (0.2500, 0.8439, 0.3750)
Ge (0.3439, 0.2500, 0.1250)
Ge (0.6561, 0.7500, 0.1250)
Ge (0.7500, 0.1561, 0.3750)
Ge (0.7500, 0.3439, 0.8750)
Ge (0.8439, 0.7500, 0.6250)

## Properties
ΔE_f: -10.30 kJ per mole of atoms
calculated density: 4.30 g/cm³

Entry 3:
Computed, not measured: an optimized crystal structure of Y2MgGe2 at the PBE level of DFT.

Cell: 8.5114 8.5114 3.3699 Å, 90.00 90.00 90.00°
Fractional coordinates of all 10 atoms:
Y (0.1378, 0.3622, 0.0000)
Y (0.3622, 0.8622, 0.0000)
Y (0.6378, 0.1378, 0.0000)
Y (0.8622, 0.6378, 0.0000)
Mg (0.0000, 0.0000, 0.0000)
Mg (0.5000, 0.5000, 0.0000)
Ge (0.1668, 0.6668, 0.5000)
Ge (0.3332, 0.1668, 0.5000)
Ge (0.6668, 0.8332, 0.5000)
Ge (0.8332, 0.3332, 0.5000)

## Properties
ΔE_f: -38.22 kJ per mole of atoms
calculated density: 4.73 g/cm³
relative energy among the computed polymorphs: 402 meV/atom

Entry 4:
Computed, not measured: an optimized crystal structure of YMgGe2 at the PBE level of DFT.

Cell: 3.3766 3.3766 26.7049 Å, 90.00 90.00 120.00°
Fractional coordinates of all 12 atoms:
Y (0.0000, 0.0000, 0.0000)
Y (0.3333, 0.6667, 0.6667)
Y (0.6667, 0.3333, 0.3333)
Mg (0.0000, 0.0000, 0.5000)
Mg (0.3333, 0.6667, 0.1667)
Mg (0.6667, 0.3333, 0.8333)
Ge (0.0000, 0.0000, 0.2453)
Ge (0.0000, 0.0000, 0.7547)
Ge (0.3333, 0.6667, 0.4214)
Ge (0.3333, 0.6667, 0.9120)
Ge (0.6667, 0.3333, 0.0880)
Ge (0.6667, 0.3333, 0.5786)

## Properties
ΔE_f: -22.30 kJ per mole of atoms
calculated density: 4.88 g/cm³

Entry 5:
Computed, not measured: an optimized crystal structure of YMgGe2 at the PBE level of DFT.

Cell: 8.0577 3.8674 10.9765 Å, 90.00 90.00 90.00°
Fractional coordinates of all 16 atoms:
Y (0.1201, 0.2500, 0.1482)
Y (0.3799, 0.7500, 0.6482)
Y (0.6201, 0.2500, 0.3518)
Y (0.8799, 0.7500, 0.8518)
Mg (0.0135, 0.7500, 0.3959)
Mg (0.4865, 0.2500, 0.8959)
Mg (0.5135, 0.7500, 0.1041)
Mg (0.9865, 0.2500, 0.6041)
Ge (0.1665, 0.2500, 0.8034)
Ge (0.2428, 0.7500, 0.9535)
Ge (0.2572, 0.2500, 0.4535)
Ge (0.3335, 0.7500, 0.3034)
Ge (0.6665, 0.2500, 0.6966)
Ge (0.7428, 0.7500, 0.5465)
Ge (0.7572, 0.2500, 0.0465)
Ge (0.8335, 0.7500, 0.1966)

## Properties
ΔE_f: -46.48 kJ per mole of atoms
calculated density: 5.02 g/cm³

Entry 6:
Computed, not measured: an optimized crystal structure of Y4Mg5Ge6 at the PBE level of DFT.

Cell: 10.0851 10.0851 15.5775 Å, 90.00 90.00 154.86°
Fractional coordinates of all 30 atoms:
Y (0.0099, 0.9901, 0.5000)
Y (0.0329, 0.9671, 0.7634)
Y (0.1629, 0.8371, 0.2979)
Y (0.1741, 0.8259, 0.9373)
Y (0.8259, 0.1741, 0.4373)
Y (0.8371, 0.1629, 0.7979)
Y (0.9671, 0.0329, 0.2634)
Y (0.9901, 0.0099, 0.0000)
Mg (0.1553, 0.8447, 0.6192)
Mg (0.3027, 0.6973, 0.6142)
Mg (0.3385, 0.6615, 0.2658)
Mg (0.3486, 0.6514, 0.9739)
Mg (0.4421, 0.5579, 0.6671)
Mg (0.5579, 0.4421, 0.1671)
Mg (0.6514, 0.3486, 0.4739)
Mg (0.6615, 0.3385, 0.7658)
Mg (0.6973, 0.3027, 0.1142)
Mg (0.8447, 0.1553, 0.1192)
Ge (0.1144, 0.8856, 0.1135)
Ge (0.2289, 0.7711, 0.4699)
Ge (0.2359, 0.7641, 0.7643)
Ge (0.4286, 0.5714, 0.1234)
Ge (0.4323, 0.5677, 0.4023)
Ge (0.4444, 0.5556, 0.8462)
Ge (0.5556, 0.4444, 0.3462)
Ge (0.5677, 0.4323, 0.9023)
Ge (0.5714, 0.4286, 0.6234)
Ge (0.7641, 0.2359, 0.2643)
Ge (0.7711, 0.2289, 0.9699)
Ge (0.8856, 0.1144, 0.6135)

## Properties
ΔE_f: -57.70 kJ per mole of atoms
calculated density: 4.50 g/cm³

Entry 7:
Computed, not measured: an optimized crystal structure of YMg2Zn2Ge2 at the PBE level of DFT.

Cell: 8.1176 8.1176 8.1176 Å, 32.27 32.27 32.27°
Fractional coordinates of all 7 atoms:
Y (0.0000, 0.0000, 0.0000)
Mg (0.1383, 0.1383, 0.1383)
Mg (0.8617, 0.8617, 0.8617)
Zn (0.4357, 0.4357, 0.4357)
Zn (0.5643, 0.5643, 0.5643)
Ge (0.2593, 0.2593, 0.2593)
Ge (0.7407, 0.7407, 0.7407)

## Properties
ΔE_f: -24.11 kJ per mole of atoms
calculated density: 5.07 g/cm³

Entry 8:
Computed, not measured: an optimized crystal structure of Mg2ZnGe at the PBE level of DFT.

Cell: 3.2126 3.2126 7.2713 Å, 90.00 90.00 90.00°
Fractional coordinates of all 4 atoms:
Mg (0.0000, 0.0000, 0.2426)
Mg (0.0000, 0.0000, 0.7574)
Zn (0.5000, 0.5000, 0.0000)
Ge (0.5000, 0.5000, 0.5000)

## Properties
ΔE_f: -8.01 kJ per mole of atoms
calculated density: 4.13 g/cm³

> calculated density of number 7 (YMg2Zn2Ge2)?

5.07 g/cm³

What did the third record say?
Computed, not measured: an optimized crystal structure of Y2MgGe2 at the PBE level of DFT.

Cell: 8.5114 8.5114 3.3699 Å, 90.00 90.00 90.00°
Fractional coordinates of all 10 atoms:
Y (0.1378, 0.3622, 0.0000)
Y (0.3622, 0.8622, 0.0000)
Y (0.6378, 0.1378, 0.0000)
Y (0.8622, 0.6378, 0.0000)
Mg (0.0000, 0.0000, 0.0000)
Mg (0.5000, 0.5000, 0.0000)
Ge (0.1668, 0.6668, 0.5000)
Ge (0.3332, 0.1668, 0.5000)
Ge (0.6668, 0.8332, 0.5000)
Ge (0.8332, 0.3332, 0.5000)

## Properties
ΔE_f: -38.22 kJ per mole of atoms
calculated density: 4.73 g/cm³
relative energy among the computed polymorphs: 402 meV/atom